[1]
# SCAN ZrNiBr2, PBEsol geometry
data_ZrNiBr2
_cell_length_a 3.439
_cell_length_b 3.343
_cell_length_c 8.009
_cell_angle_alpha 90.00
_cell_angle_beta 101.09
_cell_angle_gamma 90.00
_space_group_name_H-M_alt 'P 1 m 1'
_space_group_IT_number 6
loop_
_space_group_symop_operation_xyz
'x,y,z'
'x,-y,z'
loop_
_atom_site_label
_atom_site_fract_x
_atom_site_fract_y
_atom_site_fract_z
Zr1 0.000 0.000 0.000
Ni1 0.438 0.500 0.845
Br1 0.120 0.500 0.266
Br2 0.805 0.000 0.665
# Calculated total energy in eV for the cell shown: -88.86
# Formation energy without anion corrections in eV/atom: -0.766
# Energy above the most stable polymorph in this dataset in eV per atom: 0.000



[2]
# SCAN NiMo2Br, PBEsol geometry
data_NiMo2Br
_cell_length_a 3.181
_cell_length_b 3.102
_cell_length_c 6.826
_cell_angle_alpha 90.00
_cell_angle_beta 93.69
_cell_angle_gamma 90.00
_space_group_name_H-M_alt 'P 1 m 1'
_space_group_IT_number 6
loop_
_space_group_symop_operation_xyz
'x,y,z'
'x,-y,z'
loop_
_atom_site_label
_atom_site_fract_x
_atom_site_fract_y
_atom_site_fract_z
Ni1 0.000 0.000 0.000
Mo1 0.020 0.000 0.600
Mo2 0.457 0.500 0.806
Br1 0.137 0.500 0.283
# Calculated total energy in eV for the cell shown: -103.88
# Formation energy without anion corrections in eV/atom: 0.382
# Energy above the most stable polymorph in this dataset in eV per atom: 0.000



[3]
# SCAN CdAgAu4, PBEsol geometry
data_CdAgAu4
_cell_length_a 7.645
_cell_length_b 7.645
_cell_length_c 7.645
_cell_angle_alpha 90.00
_cell_angle_beta 90.00
_cell_angle_gamma 90.00
_space_group_name_H-M_alt 'F -4 3 m'
_space_group_IT_number 216
_space_group_name_Hall 'F -4 2 3'
loop_
_atom_site_label
_atom_site_fract_x
_atom_site_fract_y
_atom_site_fract_z
Cd1 0.000 0.000 0.000
Ag1 0.250 0.250 0.250
Au1 0.125 0.125 0.625
# Calculated total energy in eV for the cell shown: -1355.29



[4]
# SCAN Li3SeI, PBEsol geometry
data_Li3SeI
_cell_length_a 4.859
_cell_length_b 4.859
_cell_length_c 4.859
_cell_angle_alpha 90.00
_cell_angle_beta 90.00
_cell_angle_gamma 90.00
_space_group_name_H-M_alt 'P m -3 m'
_space_group_IT_number 221
_space_group_name_Hall '-P 4 2 3'
loop_
_atom_site_label
_atom_site_fract_x
_atom_site_fract_y
_atom_site_fract_z
Li1 0.000 0.000 0.500
Se1 0.000 0.000 0.000
I1 0.500 0.500 0.500
# Calculated total energy in eV for the cell shown: -70.40
# Formation energy without anion corrections in eV/atom: -1.283



[5]
# SCAN BeReTc2, PBEsol geometry
data_BeReTc2
_cell_length_a 3.573
_cell_length_b 3.573
_cell_length_c 8.171
_cell_angle_alpha 90.00
_cell_angle_beta 90.00
_cell_angle_gamma 90.00
_space_group_name_H-M_alt 'I -4 m 2'
_space_group_IT_number 119
_space_group_name_Hall 'I -4 -2'
loop_
_atom_site_label
_atom_site_fract_x
_atom_site_fract_y
_atom_site_fract_z
Be1 0.000 0.000 0.000
Re1 0.000 0.500 0.250
Tc1 0.000 0.000 0.500
Tc2 0.000 0.500 0.750
# Calculated total energy in eV for the cell shown: -290.68



[6]
# SCAN Fe2Ir, PBEsol geometry
data_Fe2Ir
_cell_length_a 9.167
_cell_length_b 2.584
_cell_length_c 5.963
_cell_angle_alpha 90.00
_cell_angle_beta 103.25
_cell_angle_gamma 90.00
_space_group_name_H-M_alt 'C 1 m 1'
_space_group_IT_number 8
loop_
_space_group_symop_operation_xyz
'x,y,z'
'x,-y,z'
'x+1/2,y+1/2,z'
'x+1/2,-y+1/2,z'
loop_
_atom_site_label
_atom_site_fract_x
_atom_site_fract_y
_atom_site_fract_z
Fe1 0.000 0.000 0.000
Fe2 0.059 0.000 0.618
Fe3 0.171 0.500 0.350
Fe4 0.339 0.000 0.674
Ir1 0.219 0.500 0.943
Ir2 0.397 0.000 0.292
# Calculated total energy in eV for the cell shown: -429.00